(1)
{
  "formula": "LiMn2Cr",
  "functional": "PBE",
  "state": "relaxed",
  "energy_ev_per_atom": -7.155,
  "sg": "R-3m (166)",
  "formation_enthalpy_0k_ev_per_atom": 0.31,
  "lattice_angstrom": [[-8.402, 0.939, -2.151], [-8.580, -1.260, -0.945], [-8.671, 0.894, 0.349]],
  "species": ["Li", "Mn", "Mn", "Cr"],
  "fractional_positions": [[0.750, 0.750, 0.750], [0.506, 0.506, 0.506], [0.994, 0.994, 0.994], [0.250, 0.250, 0.250]]
}

=====

(2)
{
  "formula": "LiMn2Cr",
  "functional": "PBE",
  "state": "relaxed",
  "energy_ev_per_atom": -7.185,
  "sg": "Cmm2 (35)",
  "formation_enthalpy_0k_ev_per_atom": 0.28,
  "lattice_angstrom": [[2.411, 0.005, 0.000], [-0.850, 2.256, 0.000], [0.000, 0.000, 8.599]],
  "species": ["Mn", "Mn", "Li", "Cr"],
  "fractional_positions": [[0.500, 0.500, 0.246], [0.000, 0.000, 0.018], [0.500, 0.500, 0.756], [0.000, 0.000, 0.480]]
}

=====

(3)
{
  "formula": "LiMn2Cr",
  "functional": "PBE",
  "state": "relaxed",
  "energy_ev_per_atom": -6.725,
  "sg": "I-42d (122)",
  "formation_enthalpy_0k_ev_per_atom": 0.74,
  "lattice_angstrom": [[-4.063, 3.028, 3.688], [-0.835, -5.220, 3.366], [-0.620, -0.438, 5.002]],
  "species": ["Mn", "Mn", "Mn", "Mn", "Li", "Li", "Cr", "Cr"],
  "fractional_positions": [[0.875, 0.901, 0.750], [0.651, 0.125, 0.250], [0.099, 0.625, 0.250], [0.375, 0.349, 0.750], [0.500, 0.500, 0.000], [0.250, 0.750, 0.500], [0.750, 0.250, 0.500], [0.000, 0.000, 0.000]]
}

=====

(4)
{
  "formula": "LiMn2Cr",
  "functional": "PBE",
  "state": "relaxed",
  "energy_ev_per_atom": -7.182,
  "sg": "P2/m (10)",
  "formation_enthalpy_0k_ev_per_atom": 0.29,
  "lattice_angstrom": [[-2.979, 1.772, 1.912], [-1.536, -1.407, -1.089], [-0.033, -3.513, 3.204]],
  "species": ["Mn", "Mn", "Li", "Cr"],
  "fractional_positions": [[0.000, 0.477, 0.505], [0.000, 0.023, 0.995], [0.500, 0.750, 0.750], [0.500, 0.250, 0.250]]
}

=====

(5)
{
  "formula": "LiMn2Cr",
  "functional": "PBE",
  "state": "relaxed",
  "energy_ev_per_atom": -7.120,
  "sg": "P4mm (99)",
  "formation_enthalpy_0k_ev_per_atom": 0.35,
  "lattice_angstrom": [[-1.695, 2.121, -1.046], [-2.351, -1.651, 0.460], [-0.512, 2.208, 5.306]],
  "species": ["Mn", "Mn", "Li", "Cr"],
  "fractional_positions": [[0.500, 0.500, 0.256], [0.000, 0.000, 0.003], [0.500, 0.500, 0.753], [0.000, 0.000, 0.487]]
}

=====

(6)
{
  "formula": "LiMn4Cr",
  "functional": "PBE",
  "state": "relaxed",
  "energy_ev_per_atom": -7.762,
  "sg": "F-43m (216)",
  "formation_enthalpy_0k_ev_per_atom": 0.27,
  "lattice_angstrom": [[0.000, 3.282, 3.282], [3.282, 0.000, 3.282], [3.282, 3.282, 0.000]],
  "species": ["Mn", "Mn", "Mn", "Mn", "Li", "Cr"],
  "fractional_positions": [[0.375, 0.375, 0.876], [0.375, 0.375, 0.375], [0.876, 0.375, 0.375], [0.375, 0.876, 0.375], [0.000, 0.000, 0.000], [0.750, 0.750, 0.750]]
}